Ba2HgAsP after structural relaxation. Source: the Open Quantum Materials Database, functional PBE.

Output
crystal system: orthorhombic
space-group type: Cmc2_1 (36)

abc: 8.948 8.948 8.210
angles: 90.00 90.00 150.41
Fractional coordinates of all 10 atoms:
Ba: 0.039 0.961 0.500
Ba: 0.208 0.792 0.143
Ba: 0.792 0.208 0.643
Ba: 0.961 0.039 0.000
Hg: 0.401 0.599 0.344
Hg: 0.599 0.401 0.844
As: 0.436 0.564 0.699
As: 0.564 0.436 0.199
P: 0.172 0.828 0.765
P: 0.828 0.172 0.265

CsNa2Cu3P2 after structural relaxation. Source: the Open Quantum Materials Database, functional PBE.

Output
crystal system: trigonal
space-group type: R-3m (166)

abc: 7.592 7.592 7.592
angles: 41.56 41.56 41.56
Fractional coordinates of all 8 atoms:
Cs: 0.000 0.000 0.000
Na: 0.419 0.419 0.419
Na: 0.581 0.581 0.581
Cu: 0.000 0.000 0.500
Cu: 0.000 0.500 0.000
Cu: 0.500 0.000 0.000
P: 0.246 0.246 0.246
P: 0.754 0.754 0.754

Gd2ErNiSn3Pt2 after structural relaxation. Source: the Open Quantum Materials Database, functional PBE.

Output
crystal system: orthorhombic
space-group type: Amm2 (38)

abc: 3.941 7.492 7.492
angles: 119.75 90.00 90.00
Fractional coordinates of all 9 atoms:
Gd: 0.000 0.203 0.797
Gd: 0.000 0.797 0.203
Er: 0.000 0.607 0.607
Ni: 0.000 0.205 0.205
Sn: 0.500 0.204 0.451
Sn: 0.500 0.451 0.204
Sn: 0.500 0.954 0.954
Pt: 0.500 0.537 0.866
Pt: 0.500 0.866 0.537

AlCdPd2 after structural relaxation. Source: the Open Quantum Materials Database, functional PBE.

Output
crystal system: tetragonal
space-group type: P4/mmm (123)

abc: 3.019 3.019 7.040
angles: 90.00 90.00 90.00
Fractional coordinates of all 4 atoms:
Al: 0.000 0.000 0.000
Cd: 0.000 0.000 0.500
Pd: 0.500 0.500 0.213
Pd: 0.500 0.500 0.787

Sn10PtS10 after structural relaxation. Source: the Open Quantum Materials Database, functional PBE.

Output
crystal system: orthorhombic
space-group type: Pbam (55)

abc: 11.081 11.380 8.693
angles: 90.00 90.00 90.00
Fractional coordinates of all 42 atoms:
Sn: 0.000 0.000 0.235
Sn: 0.000 0.000 0.765
Sn: 0.137 0.410 0.261
Sn: 0.137 0.410 0.739
Sn: 0.151 0.682 0.000
Sn: 0.236 0.680 0.500
Sn: 0.264 0.180 0.500
Sn: 0.349 0.182 0.000
Sn: 0.363 0.910 0.261
Sn: 0.363 0.910 0.739
Sn: 0.500 0.500 0.235
Sn: 0.500 0.500 0.765
Sn: 0.637 0.090 0.261
Sn: 0.637 0.090 0.739
Sn: 0.651 0.818 0.000
Sn: 0.736 0.820 0.500
Sn: 0.764 0.320 0.500
Sn: 0.849 0.318 0.000
Sn: 0.863 0.590 0.261
Sn: 0.863 0.590 0.739
Pt: 0.000 0.500 0.000
Pt: 0.500 0.000 0.000
S: 0.017 0.319 0.500
S: 0.135 0.905 0.000
S: 0.181 0.187 0.198
S: 0.181 0.187 0.802
S: 0.193 0.941 0.500
S: 0.307 0.441 0.500
S: 0.319 0.687 0.198
S: 0.319 0.687 0.802
S: 0.365 0.405 0.000
S: 0.483 0.819 0.500
S: 0.517 0.181 0.500
S: 0.635 0.595 0.000
S: 0.681 0.313 0.198
S: 0.681 0.313 0.802
S: 0.693 0.559 0.500
S: 0.807 0.059 0.500
S: 0.819 0.813 0.198
S: 0.819 0.813 0.802
S: 0.865 0.095 0.000
S: 0.983 0.681 0.500

KErO3 after structural relaxation. Source: the Open Quantum Materials Database, functional PBE.

Output
crystal system: orthorhombic
space-group type: Pnma (62)

abc: 6.291 8.728 6.042
angles: 90.00 90.00 90.00
Fractional coordinates of all 20 atoms:
K: 0.013 0.250 0.005
K: 0.487 0.750 0.505
K: 0.513 0.250 0.495
K: 0.987 0.750 0.995
Er: 0.000 0.000 0.500
Er: 0.000 0.500 0.500
Er: 0.500 0.000 0.000
Er: 0.500 0.500 0.000
O: 0.013 0.750 0.466
O: 0.230 0.518 0.772
O: 0.230 0.982 0.772
O: 0.270 0.018 0.272
O: 0.270 0.482 0.272
O: 0.487 0.250 0.966
O: 0.513 0.750 0.034
O: 0.730 0.518 0.728
O: 0.730 0.982 0.728
O: 0.770 0.018 0.228
O: 0.770 0.482 0.228
O: 0.987 0.250 0.534

PmEr2Co9 after structural relaxation. Source: the Open Quantum Materials Database, functional PBE.

Output
crystal system: trigonal
space-group type: R-3m (166)
energy relative to the elements: -167 meV/atom

abc: 8.528 8.528 8.528
angles: 33.90 33.90 33.90
Fractional coordinates of all 12 atoms:
Pm: 0.000 0.000 0.000
Er: 0.140 0.140 0.140
Er: 0.860 0.860 0.860
Co: 0.078 0.585 0.585
Co: 0.335 0.335 0.335
Co: 0.415 0.415 0.922
Co: 0.415 0.922 0.415
Co: 0.500 0.500 0.500
Co: 0.585 0.078 0.585
Co: 0.585 0.585 0.078
Co: 0.665 0.665 0.665
Co: 0.922 0.415 0.415

GdMgZn after structural relaxation. Source: the Open Quantum Materials Database, functional PBE.

Output
crystal system: hexagonal
space-group type: P-6m2 (187)

abc: 3.955 3.955 11.604
angles: 90.00 90.00 120.00
Fractional coordinates of all 6 atoms:
Gd: 0.000 0.000 0.221
Gd: 0.000 0.000 0.779
Mg: 0.333 0.667 0.000
Mg: 0.333 0.667 0.500
Zn: 0.667 0.333 0.378
Zn: 0.667 0.333 0.622

SmGd2Ni2B2N3 after structural relaxation. Source: the Open Quantum Materials Database, functional PBE.

Output
crystal system: tetragonal
space-group type: I4/mmm (139)

abc: 10.417 10.417 10.417
angles: 160.48 160.48 27.74
Fractional coordinates of all 10 atoms:
Sm: 0.000 0.000 0.000
Gd: 0.375 0.375 0.000
Gd: 0.625 0.625 0.000
Ni: 0.250 0.750 0.500
Ni: 0.750 0.250 0.500
B: 0.192 0.192 0.000
B: 0.808 0.808 0.000
N: 0.120 0.120 0.000
N: 0.500 0.500 0.000
N: 0.880 0.880 0.000

Nd8Te after structural relaxation. Source: the Open Quantum Materials Database, functional PBE.

Output
crystal system: hexagonal
space-group type: P-62m (189)

abc: 9.554 9.554 3.894
angles: 90.00 90.00 120.00
Fractional coordinates of all 9 atoms:
Nd: 0.000 0.269 0.000
Nd: 0.000 0.624 0.500
Nd: 0.269 0.000 0.000
Nd: 0.333 0.667 0.000
Nd: 0.376 0.376 0.500
Nd: 0.624 0.000 0.500
Nd: 0.667 0.333 0.000
Nd: 0.731 0.731 0.000
Te: 0.000 0.000 0.500

LiFe2Si after structural relaxation. Source: the Open Quantum Materials Database, functional PBE.

Output
crystal system: cubic
space-group type: Pm-3m (221)

abc: 5.582 5.582 5.582
angles: 90.00 90.00 90.00
Fractional coordinates of all 16 atoms:
Li: 0.000 0.000 0.000
Li: 0.000 0.000 0.500
Li: 0.000 0.500 0.000
Li: 0.500 0.000 0.000
Fe: 0.259 0.259 0.259
Fe: 0.259 0.259 0.741
Fe: 0.259 0.741 0.259
Fe: 0.259 0.741 0.741
Fe: 0.741 0.259 0.259
Fe: 0.741 0.259 0.741
Fe: 0.741 0.741 0.259
Fe: 0.741 0.741 0.741
Si: 0.000 0.500 0.500
Si: 0.500 0.000 0.500
Si: 0.500 0.500 0.000
Si: 0.500 0.500 0.500

NbTlCuAg after structural relaxation. Source: the Open Quantum Materials Database, functional PBE.

Output
crystal system: cubic
space-group type: F-43m (216)

abc: 4.663 4.663 4.663
angles: 60.00 60.00 60.00
Fractional coordinates of all 4 atoms:
Nb: 0.000 0.000 0.000
Tl: 0.500 0.500 0.500
Cu: 0.750 0.750 0.750
Ag: 0.250 0.250 0.250

TcGeOs after structural relaxation. Source: the Open Quantum Materials Database, functional PBE.

Output
crystal system: cubic
space-group type: F-43m (216)
excess energy over the best structure of this formula in the dataset: 0.000 eV/atom

abc: 4.158 4.158 4.158
angles: 60.00 60.00 60.00
Fractional coordinates of all 3 atoms:
Tc: 0.000 0.000 0.000
Ge: 0.750 0.750 0.750
Os: 0.250 0.250 0.250

Lu4Hf2Sb3C3 after structural relaxation. Source: the Open Quantum Materials Database, functional PBE.

Output
crystal system: monoclinic
space-group type: C2/c (15)

abc: 6.078 6.078 14.865
angles: 101.95 101.95 60.07
Fractional coordinates of all 24 atoms:
Lu: 0.035 0.193 0.090
Lu: 0.132 0.303 0.410
Lu: 0.193 0.035 0.590
Lu: 0.303 0.132 0.910
Lu: 0.697 0.868 0.090
Lu: 0.807 0.965 0.410
Lu: 0.868 0.697 0.590
Lu: 0.965 0.807 0.910
Hf: 0.357 0.527 0.080
Hf: 0.473 0.643 0.420
Hf: 0.527 0.357 0.580
Hf: 0.643 0.473 0.920
Sb: 0.102 0.898 0.250
Sb: 0.271 0.416 0.751
Sb: 0.416 0.271 0.251
Sb: 0.584 0.729 0.749
Sb: 0.729 0.584 0.249
Sb: 0.898 0.102 0.750
C: 0.000 0.500 0.000
C: 0.186 0.657 0.500
C: 0.343 0.814 0.000
C: 0.500 0.000 0.500
C: 0.657 0.186 0.000
C: 0.814 0.343 0.500

Cu2HgIBr3 after structural relaxation. Source: the Open Quantum Materials Database, functional PBE.

Output
crystal system: monoclinic
space-group type: Cm (8)
excess energy over the best structure of this formula in the dataset: 0.002 eV/atom

abc: 5.820 5.820 7.343
angles: 112.01 112.01 90.59
Fractional coordinates of all 7 atoms:
Cu: 0.247 0.753 0.000
Cu: 0.753 0.247 0.000
Hg: 0.997 0.997 0.495
I: 0.403 0.403 0.757
Br: 0.117 0.595 0.223
Br: 0.595 0.117 0.223
Br: 0.876 0.876 0.779

LaTbIr after structural relaxation. Source: the Open Quantum Materials Database, functional PBE.

Output
crystal system: cubic
space-group type: F-43m (216)
energy relative to the elements: 198 meV/atom

abc: 4.782 4.782 4.782
angles: 60.00 60.00 60.00
Fractional coordinates of all 3 atoms:
La: 0.000 0.000 0.000
Tb: 0.250 0.250 0.250
Ir: 0.750 0.750 0.750

ErAl3Pd2 after structural relaxation. Source: the Open Quantum Materials Database, functional PBE.

Output
crystal system: hexagonal
space-group type: P6/m (175)

abc: 14.181 14.181 4.222
angles: 90.00 90.00 120.00
Fractional coordinates of all 42 atoms:
Er: 0.000 0.000 0.000
Er: 0.144 0.712 0.500
Er: 0.288 0.432 0.500
Er: 0.432 0.144 0.500
Er: 0.568 0.856 0.500
Er: 0.712 0.568 0.500
Er: 0.856 0.288 0.500
Al: 0.000 0.500 0.000
Al: 0.044 0.218 0.500
Al: 0.072 0.355 0.000
Al: 0.174 0.956 0.500
Al: 0.212 0.573 0.000
Al: 0.218 0.174 0.500
Al: 0.283 0.928 0.000
Al: 0.355 0.283 0.000
Al: 0.361 0.788 0.000
Al: 0.427 0.639 0.000
Al: 0.500 0.000 0.000
Al: 0.500 0.500 0.000
Al: 0.573 0.361 0.000
Al: 0.639 0.212 0.000
Al: 0.645 0.717 0.000
Al: 0.717 0.072 0.000
Al: 0.782 0.826 0.500
Al: 0.788 0.427 0.000
Al: 0.826 0.044 0.500
Al: 0.928 0.645 0.000
Al: 0.956 0.782 0.500
Pd: 0.078 0.842 0.000
Pd: 0.095 0.474 0.500
Pd: 0.158 0.236 0.000
Pd: 0.236 0.078 0.000
Pd: 0.333 0.667 0.500
Pd: 0.379 0.905 0.500
Pd: 0.474 0.379 0.500
Pd: 0.526 0.621 0.500
Pd: 0.621 0.095 0.500
Pd: 0.667 0.333 0.500
Pd: 0.764 0.922 0.000
Pd: 0.842 0.764 0.000
Pd: 0.905 0.526 0.500
Pd: 0.922 0.158 0.000

Rb4CuAgP2 after structural relaxation. Source: the Open Quantum Materials Database, functional PBE.

Output
crystal system: monoclinic
space-group type: C2/m (12)

abc: 6.465 6.465 6.246
angles: 90.69 90.69 107.35
Fractional coordinates of all 8 atoms:
Rb: 0.026 0.685 0.752
Rb: 0.315 0.974 0.248
Rb: 0.685 0.026 0.752
Rb: 0.974 0.315 0.248
Cu: 0.500 0.500 0.000
Ag: 0.500 0.500 0.500
P: 0.270 0.270 0.769
P: 0.730 0.730 0.231

Li2TaGa2Os2W after structural relaxation. Source: the Open Quantum Materials Database, functional PBE.

Output
crystal system: tetragonal
space-group type: P-4m2 (115)

abc: 4.329 4.329 6.115
angles: 90.00 90.00 90.00
Fractional coordinates of all 8 atoms:
Li: 0.000 0.500 0.248
Li: 0.500 0.000 0.752
Ta: 0.000 0.000 0.500
Ga: 0.000 0.000 0.000
Ga: 0.500 0.500 0.500
Os: 0.000 0.500 0.758
Os: 0.500 0.000 0.242
W: 0.500 0.500 0.000

Pa2Nb after structural relaxation. Source: the Open Quantum Materials Database, functional PBE.

Output
crystal system: cubic
space-group type: Fd-3m (227)
energy relative to the elements: 2334 meV/atom

abc: 8.250 8.250 8.250
angles: 60.00 60.00 60.00
Fractional coordinates of all 6 atoms:
Pa: 0.000 0.000 0.000
Pa: 0.000 0.000 0.500
Pa: 0.000 0.500 0.000
Pa: 0.500 0.000 0.000
Nb: 0.125 0.125 0.125
Nb: 0.875 0.875 0.875

Energy across the listed records, respectively: -3.69; -3.50; -5.82; -4.46; -4.50; -6.01; -6.65; -2.44; -7.51; -4.86; -6.03; -4.26; -8.50; -7.23; -2.36; -5.94; -5.21; -2.94; -7.37; -7.36 eV/atom.